{"formula": "TmCu3P2", "functional": "GGA-PBE", "state": "optimized geometry", "cell": [[3.968, 0.000, 0.000], [-1.984, 3.436, 0.000], [0.000, 0.000, 6.491]], "species": ["Tm", "Cu", "Cu", "Cu", "P", "P"], "frac_coords": [[0.000, 0.000, 0.000], [0.000, 0.000, 0.500], [0.333, 0.667, 0.333], [0.667, 0.333, 0.667], [0.333, 0.667, 0.747], [0.667, 0.333, 0.253]], "final_energy_ev_per_atom": -4.9543, "magmom_total_mub_per_cell": 0.00, "spacegroup": "P-3m1 (164)"}